Entry from the Alexandria database: a relaxed structure of La2DyGa4Pd3 (PBE).

Computed properties:
final energy = -4.958 eV/atom
D(E_F) = 8.45 states/eV/cell
energy relative to the elements = -744 meV per atom
crystal system = tetragonal

a = 4.293 Å, b = 4.293 Å, c = 11.792 Å
α = 90.00°, β = 90.00°, γ = 90.00°
Space group P-4m2 (No. 115)
Symmetry-distinct sites (fractional):
La: 0.000 0.500 0.225 [2 per cell]
Dy: 0.000 0.000 0.500 [1 per cell]
Ga: 0.000 0.000 0.000 [1 per cell]
Ga: 0.000 0.500 0.666 [2 per cell]
Ga: 0.500 0.500 0.000 [1 per cell]
Pd: 0.000 0.500 0.879 [2 per cell]
Pd: 0.500 0.500 0.500 [1 per cell]